## PrTmMgAl (PBE)

Data for a geometry-optimized PrTmMgAl structure.

Output
Space-group type = No. 216
Calculated formation energy = -250 meV per atom
Uncorrected energy = -3.8972 eV per atom

Unit cell a=5.2684 b=5.2684 c=5.2684 alpha=60.00 beta=60.00 gamma=60.00
Fractional positions:
Pr (0.0000, 0.0000, 0.0000)
Tm (0.5000, 0.5000, 0.5000)
Mg (0.7500, 0.7500, 0.7500)
Al (0.2500, 0.2500, 0.2500)